AcPr2Mg6 | PBE-GGA | relaxed

Output
E (eV/f.u.): -23.97
Formation energy from the elements (eV/atom): -0.081

Lattice parameters (Å, degrees): 9.2720 9.2720 3.5189 90.00 90.00 120.00
With the nearest neighbours (Å) after each atom.
Space group P6/mmm (No. 191)
One atom of each set of equivalent atoms:
Ac1 0.0000 0.0000 0.0000 [1 per cell]  2 Ac 3.52, 12 Mg 3.59
Pr1 0.3333 0.6667 0.0000 [2 per cell]  2 Pr 3.52, 12 Mg 3.54
Mg1 0.0000 0.3380 0.5000 [6 per cell]  3 Mg 3.00-3.13